Computed, not measured: a relaxed structure of MgCoSiNi at the GGA-PBE level of DFT.

abc: 4.1081 4.1081 4.1081
angles: 60.00 60.00 60.00
Closest atoms and distances in Å follow each position.
Atoms (fractional coordinates):
Co 0.0000 0.0000 0.0000  4 Ni 2.52, 4 Si 2.52
Mg 0.5000 0.5000 0.5000  4 Ni 2.52, 4 Si 2.52
Ni 0.7500 0.7500 0.7500  4 Mg 2.52, 4 Co 2.52
Si 0.2500 0.2500 0.2500  4 Mg 2.52, 4 Co 2.52

Computed properties:
- E above lowest polymorph (kJ/mol of atoms) = 26.0